First-principles (PBEsol) data for a relaxed structure of TaMnBr, as listed in Alexandria via LeMat-Bulk.

Calculated values
Density of states at the Fermi level, states/eV per atom: 0.464
Size of the total moment, μB per cell: 0.01
Uncorrected formation energy, eV/atom: 0.26

```
data_TaMnBr
_cell_length_a 3.188
_cell_length_b 3.188
_cell_length_c 5.951
_cell_angle_alpha 90.00
_cell_angle_beta 90.00
_cell_angle_gamma 120.00
_symmetry_space_group_name_H-M 'P 1'
_symmetry_Int_Tables_number 1
loop_
_symmetry_equiv_pos_as_xyz
'x,y,z'
loop_
_atom_site_label
_atom_site_fract_x
_atom_site_fract_y
_atom_site_fract_z
Ta1 0.000 0.000 0.000
Mn1 0.667 0.333 0.256
Br1 0.333 0.667 0.641
```

First-principles (PBEsol) data for a relaxed structure of TaMnBr2, as listed in Alexandria via LeMat-Bulk.

Calculated values
Density of states at the Fermi level, states/eV per atom: 0.752
Size of the total moment, μB per cell: 3.60
Uncorrected formation energy, eV/atom: 0.67

```
data_TaMnBr2
_cell_length_a 4.750
_cell_length_b 4.750
_cell_length_c 4.750
_cell_angle_alpha 125.52
_cell_angle_beta 125.52
_cell_angle_gamma 80.67
_symmetry_space_group_name_H-M 'P 1'
_symmetry_Int_Tables_number 1
loop_
_symmetry_equiv_pos_as_xyz
'x,y,z'
loop_
_atom_site_label
_atom_site_fract_x
_atom_site_fract_y
_atom_site_fract_z
Ta1 0.000 0.000 0.000
Mn1 0.500 0.500 0.000
Br1 0.250 0.750 0.500
Br2 0.750 0.250 0.500
```

First-principles (PBEsol) data for a relaxed structure of TaMnBr2, as listed in Alexandria via LeMat-Bulk.

Calculated values
Density of states at the Fermi level, states/eV per atom: 0.570
Size of the total moment, μB per cell: 4.36
Uncorrected formation energy, eV/atom: 0.48

```
data_TaMnBr2
_cell_length_a 3.269
_cell_length_b 3.269
_cell_length_c 9.404
_cell_angle_alpha 90.00
_cell_angle_beta 90.00
_cell_angle_gamma 124.28
_symmetry_space_group_name_H-M 'P 1'
_symmetry_Int_Tables_number 1
loop_
_symmetry_equiv_pos_as_xyz
'x,y,z'
loop_
_atom_site_label
_atom_site_fract_x
_atom_site_fract_y
_atom_site_fract_z
Ta1 0.000 0.000 0.000
Mn1 0.000 0.000 0.500
Br1 0.500 0.500 0.228
Br2 0.500 0.500 0.772
```

First-principles (PBEsol) data for a relaxed structure of TaMnBr2, as listed in Alexandria via LeMat-Bulk.

Calculated values
Density of states at the Fermi level, states/eV per atom: 0.484
Size of the total moment, μB per cell: 3.33
Uncorrected formation energy, eV/atom: 0.02

```
data_TaMnBr2
_cell_length_a 3.110
_cell_length_b 3.110
_cell_length_c 8.225
_cell_angle_alpha 90.00
_cell_angle_beta 90.00
_cell_angle_gamma 90.00
_symmetry_space_group_name_H-M 'P 1'
_symmetry_Int_Tables_number 1
loop_
_symmetry_equiv_pos_as_xyz
'x,y,z'
loop_
_atom_site_label
_atom_site_fract_x
_atom_site_fract_y
_atom_site_fract_z
Ta1 0.000 0.000 0.000
Mn1 0.500 0.500 0.778
Br1 0.000 0.000 0.585
Br2 0.500 0.500 0.206
```

First-principles (PBEsol) data for a relaxed structure of Ta2MnBr, as listed in Alexandria via LeMat-Bulk.

Calculated values
Density of states at the Fermi level, states/eV per atom: 1.249
Size of the total moment, μB per cell: 1.61
Uncorrected formation energy, eV/atom: 0.60

```
data_Ta2MnBr
_cell_length_a 4.598
_cell_length_b 4.598
_cell_length_c 2.974
_cell_angle_alpha 90.00
_cell_angle_beta 90.00
_cell_angle_gamma 90.00
_symmetry_space_group_name_H-M 'P 1'
_symmetry_Int_Tables_number 1
loop_
_symmetry_equiv_pos_as_xyz
'x,y,z'
loop_
_atom_site_label
_atom_site_fract_x
_atom_site_fract_y
_atom_site_fract_z
Ta1 0.000 0.500 0.000
Ta2 0.500 0.000 0.000
Mn1 0.000 0.000 0.500
Br1 0.500 0.500 0.500
```

First-principles (PBEsol) data for a relaxed structure of TaMnBr2, as listed in Alexandria via LeMat-Bulk.

Calculated values
Density of states at the Fermi level, states/eV per atom: 0.582
Size of the total moment, μB per cell: 3.50
Uncorrected formation energy, eV/atom: 0.54

```
data_TaMnBr2
_cell_length_a 5.314
_cell_length_b 5.314
_cell_length_c 3.176
_cell_angle_alpha 104.11
_cell_angle_beta 104.11
_cell_angle_gamma 110.22
_symmetry_space_group_name_H-M 'P 1'
_symmetry_Int_Tables_number 1
loop_
_symmetry_equiv_pos_as_xyz
'x,y,z'
loop_
_atom_site_label
_atom_site_fract_x
_atom_site_fract_y
_atom_site_fract_z
Ta1 0.000 0.000 0.000
Mn1 0.500 0.500 0.000
Br1 0.000 0.500 0.000
Br2 0.500 0.000 0.000
```

First-principles (PBEsol) data for a relaxed structure of Tb7MnBr12, as listed in Alexandria via LeMat-Bulk.

Calculated values
Density of states at the Fermi level, states/eV per atom: 0.409
Size of the total moment, μB per cell: 1.97
Uncorrected formation energy, eV/atom: -1.50

```
data_Tb7MnBr12
_cell_length_a 8.994
_cell_length_b 8.994
_cell_length_c 8.994
_cell_angle_alpha 106.91
_cell_angle_beta 106.91
_cell_angle_gamma 106.91
_symmetry_space_group_name_H-M 'P 1'
_symmetry_Int_Tables_number 1
loop_
_symmetry_equiv_pos_as_xyz
'x,y,z'
loop_
_atom_site_label
_atom_site_fract_x
_atom_site_fract_y
_atom_site_fract_z
Tb1 0.000 0.000 0.000
Tb2 0.192 0.476 0.400
Tb3 0.400 0.192 0.476
Tb4 0.476 0.400 0.192
Tb5 0.524 0.600 0.808
Tb6 0.600 0.808 0.524
Tb7 0.808 0.524 0.600
Mn1 0.500 0.500 0.500
Br1 0.033 0.113 0.337
Br2 0.113 0.337 0.033
Br3 0.181 0.574 0.727
Br4 0.273 0.819 0.426
Br5 0.337 0.033 0.113
Br6 0.426 0.273 0.819
Br7 0.574 0.727 0.181
Br8 0.663 0.967 0.887
Br9 0.727 0.181 0.574
Br10 0.819 0.426 0.273
Br11 0.887 0.663 0.967
Br12 0.967 0.887 0.663
```

First-principles (PBEsol) data for a relaxed structure of Mn2TcBr, as listed in Alexandria via LeMat-Bulk.

Calculated values
Density of states at the Fermi level, states/eV per atom: 0.968
Size of the total moment, μB per cell: 0.61
Uncorrected formation energy, eV/atom: 0.74

```
data_Mn2TcBr
_cell_length_a 2.920
_cell_length_b 4.280
_cell_length_c 4.411
_cell_angle_alpha 90.00
_cell_angle_beta 90.00
_cell_angle_gamma 90.00
_symmetry_space_group_name_H-M 'P 1'
_symmetry_Int_Tables_number 1
loop_
_symmetry_equiv_pos_as_xyz
'x,y,z'
loop_
_atom_site_label
_atom_site_fract_x
_atom_site_fract_y
_atom_site_fract_z
Mn1 0.000 0.000 0.000
Mn2 0.500 0.000 0.500
Tc1 0.000 0.500 0.500
Br1 0.500 0.500 0.000
```

First-principles (PBEsol) data for a relaxed structure of MnTeBr2, as listed in Alexandria via LeMat-Bulk.

Calculated values
Density of states at the Fermi level, states/eV per atom: 0.351
Size of the total moment, μB per cell: 4.19
Uncorrected formation energy, eV/atom: -0.19

```
data_MnTeBr2
_cell_length_a 7.333
_cell_length_b 7.333
_cell_length_c 7.333
_cell_angle_alpha 151.45
_cell_angle_beta 134.90
_cell_angle_gamma 54.25
_symmetry_space_group_name_H-M 'P 1'
_symmetry_Int_Tables_number 1
loop_
_symmetry_equiv_pos_as_xyz
'x,y,z'
loop_
_atom_site_label
_atom_site_fract_x
_atom_site_fract_y
_atom_site_fract_z
Mn1 0.000 0.000 0.000
Te1 0.852 0.352 0.500
Br1 0.132 0.632 0.500
Br2 0.395 0.395 0.000
```

First-principles (PBEsol) data for a relaxed structure of Mn2TeBr, as listed in Alexandria via LeMat-Bulk.

Calculated values
Density of states at the Fermi level, states/eV per atom: 1.271
Size of the total moment, μB per cell: 8.80
Uncorrected formation energy, eV/atom: 0.81

```
data_Mn2TeBr
_cell_length_a 4.923
_cell_length_b 4.923
_cell_length_c 4.923
_cell_angle_alpha 60.00
_cell_angle_beta 60.00
_cell_angle_gamma 60.00
_symmetry_space_group_name_H-M 'P 1'
_symmetry_Int_Tables_number 1
loop_
_symmetry_equiv_pos_as_xyz
'x,y,z'
loop_
_atom_site_label
_atom_site_fract_x
_atom_site_fract_y
_atom_site_fract_z
Mn1 0.000 0.000 0.000
Mn2 0.250 0.250 0.250
Te1 0.750 0.750 0.750
Br1 0.500 0.500 0.500
```

First-principles (PBEsol) data for a relaxed structure of MnTeBr2, as listed in Alexandria via LeMat-Bulk.

Calculated values
Density of states at the Fermi level, states/eV per atom: 0.576
Size of the total moment, μB per cell: 4.64
Uncorrected formation energy, eV/atom: 0.42

```
data_MnTeBr2
_cell_length_a 5.427
_cell_length_b 5.427
_cell_length_c 3.338
_cell_angle_alpha 90.00
_cell_angle_beta 90.00
_cell_angle_gamma 104.78
_symmetry_space_group_name_H-M 'P 1'
_symmetry_Int_Tables_number 1
loop_
_symmetry_equiv_pos_as_xyz
'x,y,z'
loop_
_atom_site_label
_atom_site_fract_x
_atom_site_fract_y
_atom_site_fract_z
Mn1 0.000 0.000 0.000
Te1 0.500 0.500 0.000
Br1 0.000 0.500 0.500
Br2 0.500 0.000 0.500
```

First-principles (PBEsol) data for a relaxed structure of MnTe3Br, as listed in Alexandria via LeMat-Bulk.

Calculated values
Density of states at the Fermi level, states/eV per atom: 1.259
Size of the total moment, μB per cell: 3.17
Uncorrected formation energy, eV/atom: 0.25

```
data_MnTe3Br
_cell_length_a 5.076
_cell_length_b 5.076
_cell_length_c 5.076
_cell_angle_alpha 90.00
_cell_angle_beta 90.00
_cell_angle_gamma 90.00
_symmetry_space_group_name_H-M 'P 1'
_symmetry_Int_Tables_number 1
loop_
_symmetry_equiv_pos_as_xyz
'x,y,z'
loop_
_atom_site_label
_atom_site_fract_x
_atom_site_fract_y
_atom_site_fract_z
Mn1 0.000 0.000 0.000
Te1 0.000 0.000 0.500
Te2 0.000 0.500 0.000
Te3 0.500 0.000 0.000
Br1 0.500 0.500 0.500
```

First-principles (PBEsol) data for a relaxed structure of MnTe2Br, as listed in Alexandria via LeMat-Bulk.

Calculated values
Density of states at the Fermi level, states/eV per atom: 0.315
Size of the total moment, μB per cell: 5.08
Uncorrected formation energy, eV/atom: 0.28

```
data_MnTe2Br
_cell_length_a 4.100
_cell_length_b 4.230
_cell_length_c 6.163
_cell_angle_alpha 90.00
_cell_angle_beta 90.00
_cell_angle_gamma 90.00
_symmetry_space_group_name_H-M 'P 1'
_symmetry_Int_Tables_number 1
loop_
_symmetry_equiv_pos_as_xyz
'x,y,z'
loop_
_atom_site_label
_atom_site_fract_x
_atom_site_fract_y
_atom_site_fract_z
Mn1 0.000 0.000 0.000
Te1 0.000 0.500 0.500
Te2 0.500 0.000 0.500
Br1 0.500 0.500 0.000
```

First-principles (PBEsol) data for a relaxed structure of Mn2TeBr, as listed in Alexandria via LeMat-Bulk.

Calculated values
Density of states at the Fermi level, states/eV per atom: 0.492
Size of the total moment, μB per cell: 7.10
Uncorrected formation energy, eV/atom: 0.03

```
data_Mn2TeBr
_cell_length_a 3.388
_cell_length_b 3.388
_cell_length_c 7.115
_cell_angle_alpha 90.00
_cell_angle_beta 90.00
_cell_angle_gamma 90.00
_symmetry_space_group_name_H-M 'P 1'
_symmetry_Int_Tables_number 1
loop_
_symmetry_equiv_pos_as_xyz
'x,y,z'
loop_
_atom_site_label
_atom_site_fract_x
_atom_site_fract_y
_atom_site_fract_z
Mn1 0.000 0.000 0.000
Mn2 0.500 0.500 0.202
Te1 0.000 0.000 0.375
Br1 0.500 0.500 0.819
```

First-principles (PBEsol) data for a relaxed structure of MnTeBr2, as listed in Alexandria via LeMat-Bulk.

Calculated values
Density of states at the Fermi level, states/eV per atom: 0.403
Size of the total moment, μB per cell: 4.91
Uncorrected formation energy, eV/atom: 0.19

```
data_MnTeBr2
_cell_length_a 3.505
_cell_length_b 4.644
_cell_length_c 5.998
_cell_angle_alpha 90.00
_cell_angle_beta 90.00
_cell_angle_gamma 90.00
_symmetry_space_group_name_H-M 'P 1'
_symmetry_Int_Tables_number 1
loop_
_symmetry_equiv_pos_as_xyz
'x,y,z'
loop_
_atom_site_label
_atom_site_fract_x
_atom_site_fract_y
_atom_site_fract_z
Mn1 0.000 0.000 0.000
Te1 0.500 0.000 0.500
Br1 0.000 0.500 0.500
Br2 0.500 0.500 0.000
```

First-principles (PBEsol) data for a relaxed structure of MnTeBr2, as listed in Alexandria via LeMat-Bulk.

Calculated values
Density of states at the Fermi level, states/eV per atom: 0.266
Size of the total moment, μB per cell: 2.87
Uncorrected formation energy, eV/atom: -0.25

```
data_MnTeBr2
_cell_length_a 8.547
_cell_length_b 8.547
_cell_length_c 8.547
_cell_angle_alpha 24.95
_cell_angle_beta 24.95
_cell_angle_gamma 24.95
_symmetry_space_group_name_H-M 'P 1'
_symmetry_Int_Tables_number 1
loop_
_symmetry_equiv_pos_as_xyz
'x,y,z'
loop_
_atom_site_label
_atom_site_fract_x
_atom_site_fract_y
_atom_site_fract_z
Mn1 0.000 0.000 0.000
Te1 0.732 0.732 0.732
Br1 0.275 0.275 0.275
Br2 0.488 0.488 0.488
```

First-principles (PBEsol) data for a relaxed structure of Th6MnBr15, as listed in Alexandria via LeMat-Bulk.

Calculated values
Density of states at the Fermi level, states/eV per atom: 0.430
Size of the total moment, μB per cell: 1.96
Uncorrected formation energy, eV/atom: -1.48

```
data_Th6MnBr15
_cell_length_a 9.922
_cell_length_b 9.922
_cell_length_c 9.922
_cell_angle_alpha 109.47
_cell_angle_beta 109.47
_cell_angle_gamma 109.47
_symmetry_space_group_name_H-M 'P 1'
_symmetry_Int_Tables_number 1
loop_
_symmetry_equiv_pos_as_xyz
'x,y,z'
loop_
_atom_site_label
_atom_site_fract_x
_atom_site_fract_y
_atom_site_fract_z
Th1 0.000 0.239 0.239
Th2 0.000 0.761 0.761
Th3 0.239 0.000 0.239
Th4 0.239 0.239 0.000
Th5 0.761 0.000 0.761
Th6 0.761 0.761 0.000
Mn1 0.000 0.000 0.000
Br1 0.000 0.253 0.747
Br2 0.000 0.500 0.500
Br3 0.000 0.747 0.253
Br4 0.253 0.000 0.747
Br5 0.253 0.253 0.506
Br6 0.253 0.506 0.253
Br7 0.253 0.747 0.000
Br8 0.494 0.747 0.747
Br9 0.500 0.000 0.500
Br10 0.500 0.500 0.000
Br11 0.506 0.253 0.253
Br12 0.747 0.000 0.253
Br13 0.747 0.253 0.000
Br14 0.747 0.494 0.747
Br15 0.747 0.747 0.494
```

First-principles (PBEsol) data for a relaxed structure of Mn2TlBr, as listed in Alexandria via LeMat-Bulk.

Calculated values
Density of states at the Fermi level, states/eV per atom: 0.518
Size of the total moment, μB per cell: 7.67
Uncorrected formation energy, eV/atom: 0.34

```
data_Mn2TlBr
_cell_length_a 3.268
_cell_length_b 3.268
_cell_length_c 7.683
_cell_angle_alpha 90.00
_cell_angle_beta 90.00
_cell_angle_gamma 90.00
_symmetry_space_group_name_H-M 'P 1'
_symmetry_Int_Tables_number 1
loop_
_symmetry_equiv_pos_as_xyz
'x,y,z'
loop_
_atom_site_label
_atom_site_fract_x
_atom_site_fract_y
_atom_site_fract_z
Mn1 0.000 0.000 0.000
Mn2 0.500 0.500 0.190
Tl1 0.500 0.500 0.775
Br1 0.000 0.000 0.367
```

First-principles (PBEsol) data for a relaxed structure of MnTlBr, as listed in Alexandria via LeMat-Bulk.

Calculated values
Density of states at the Fermi level, states/eV per atom: 0.705
Size of the total moment, μB per cell: 4.38
Uncorrected formation energy, eV/atom: 0.19

```
data_MnTlBr
_cell_length_a 7.508
_cell_length_b 7.208
_cell_length_c 3.389
_cell_angle_alpha 81.68
_cell_angle_beta 71.79
_cell_angle_gamma 26.53
_symmetry_space_group_name_H-M 'P 1'
_symmetry_Int_Tables_number 1
loop_
_symmetry_equiv_pos_as_xyz
'x,y,z'
loop_
_atom_site_label
_atom_site_fract_x
_atom_site_fract_y
_atom_site_fract_z
Mn1 0.000 0.000 0.000
Tl1 0.344 0.344 0.656
Br1 0.620 0.620 0.380
```

First-principles (PBEsol) data for a relaxed structure of Mn2TlBr, as listed in Alexandria via LeMat-Bulk.

Calculated values
Density of states at the Fermi level, states/eV per atom: 0.916
Size of the total moment, μB per cell: 7.65
Uncorrected formation energy, eV/atom: 0.53

```
data_Mn2TlBr
_cell_length_a 3.168
_cell_length_b 3.168
_cell_length_c 7.361
_cell_angle_alpha 90.00
_cell_angle_beta 90.00
_cell_angle_gamma 90.00
_symmetry_space_group_name_H-M 'P 1'
_symmetry_Int_Tables_number 1
loop_
_symmetry_equiv_pos_as_xyz
'x,y,z'
loop_
_atom_site_label
_atom_site_fract_x
_atom_site_fract_y
_atom_site_fract_z
Mn1 0.000 0.000 0.239
Mn2 0.000 0.000 0.761
Tl1 0.500 0.500 0.500
Br1 0.500 0.500 0.000
```